Here is PrCoSb2O8 after structural relaxation from the Alexandria database. Energies are from GGA+U.

Unit cell a=4.9459 b=6.4585 c=4.9616 alpha=90.00 beta=93.98 gamma=90.00
Last column: nearest neighbours and their distance in Å.
Atoms (fractional coordinates):
Pr 0.0000 0.0000 0.0000  6 O 2.30-2.39
Co 0.0000 0.5000 0.0000  4 O 1.99
Sb 0.5000 0.2620 0.5000  6 O 1.98-2.10
Sb 0.5000 0.7380 0.5000  6 O 1.98-2.10
O 0.1958 0.2821 0.2210  1 Sb 1.98, 1 Co 1.99
O 0.1958 0.7179 0.2210  1 Sb 1.98, 1 Co 1.99
O 0.3178 0.5000 0.7004  2 Sb 2.07, 1 Co 2.24
O 0.3426 0.0000 0.6827  2 Sb 2.10
O 0.6574 0.0000 0.3173  2 Sb 2.10
O 0.6822 0.5000 0.2997  2 Sb 2.07, 1 Co 2.24
O 0.8042 0.2821 0.7790  1 Sb 1.98, 1 Co 1.99
O 0.8042 0.7179 0.7790  1 Sb 1.98, 1 Co 1.99

Properties
Theoretical density   6.001 g/cm³
Final energy   -77.11 eV per formula unit
Crystal system   monoclinic
Symmetry   P2/m (10)